Computed, not measured: crystalline PaTeNO at its relaxed geometry at the PBE level of DFT.

a = 5.2981 Å, b = 5.2981 Å, c = 4.5017 Å
α = 90.00°, β = 90.00°, γ = 90.00°
Atoms (fractional coordinates):
N (0.0000, 0.5000, 0.3150)
Te (0.0000, 0.5000, 0.8595)
Pa (0.5000, 0.5000, 0.5000)
N (0.5000, 0.0000, 0.6850)
Te (0.5000, 0.0000, 0.1405)
O (0.5000, 0.5000, 0.0000)
O (0.0000, 0.0000, 0.0000)
Pa (0.0000, 0.0000, 0.5000)

## Properties
* energy above the lowest structure with this stoichiometry: 219 kJ/mol of formula units
* crystal system: tetragonal
* space-group type: P4/nmm, No. 129
* total DFT energy (no corrections): -27.57 eV/f.u.


Computed, not measured: crystalline DySbN2O at its relaxed geometry at the PBE level of DFT.

a = 4.0165 Å, b = 4.0165 Å, c = 3.9261 Å
α = 90.00°, β = 90.00°, γ = 90.00°
Atoms (fractional coordinates):
Sb (0.5000, 0.5000, 0.5000)
Dy (0.0000, 0.0000, 0.0000)
N (0.5000, 0.0000, 0.5000)
N (0.0000, 0.5000, 0.5000)
O (0.5000, 0.5000, 0.0000)

## Properties
* crystal system: tetragonal
* space-group type: P4/mmm, No. 123
* total DFT energy (no corrections): -33.49 eV/f.u.


Computed, not measured: crystalline La2PrZn2Ge4Au2 at its relaxed geometry at the PBE level of DFT.

a = 13.3158 Å, b = 13.3158 Å, c = 13.3158 Å
α = 161.62°, β = 160.93°, γ = 26.61°
Atoms (fractional coordinates):
La (0.3529, 0.8529, 0.5000)
Zn (0.7493, 0.7493, 0.0000)
Ge (0.4519, 0.4519, 0.0000)
Ge (0.8058, 0.3058, 0.5000)
Au (0.9043, 0.4043, 0.5000)
Pr (0.0000, 0.0000, 0.0000)
Ge (0.5481, 0.5481, 0.0000)
Ge (0.1942, 0.6942, 0.5000)
Zn (0.2507, 0.2507, 0.0000)
Au (0.0957, 0.5957, 0.5000)
La (0.6471, 0.1471, 0.5000)

## Properties
* crystal system: orthorhombic
* space-group type: Immm, No. 71
* total DFT energy (no corrections): -49.86 eV/f.u.


Computed, not measured: crystalline YAs2Os2 at its relaxed geometry at the PBE level of DFT.

a = 5.8499 Å, b = 5.8499 Å, c = 5.8499 Å
α = 137.54°, β = 137.54°, γ = 61.62°
Atoms (fractional coordinates):
Os (0.7500, 0.2500, 0.5000)
Y (0.0000, 0.0000, 0.0000)
As (0.3721, 0.3721, 0.0000)
As (0.6279, 0.6279, 0.0000)
Os (0.2500, 0.7500, 0.5000)

## Properties
* crystal system: tetragonal
* space-group type: I4/mmm, No. 139
* total DFT energy (no corrections): -39.98 eV/f.u.


- The highest total DFT energy (no corrections) belongs to which entry?
  PaTeNO